(1)
## Tl2CdF4 (GGA-PBE)

Data for a relaxed structure of Tl2CdF4.

Computed properties:
- electronic total energy (eV/atom) = -3.827

Cell lengths 6.1605, 6.1605, 29.4652 Å; angles 90.00, 90.00, 90.00 degrees
Space group I4_1/acd (No. 142, origin choice 2)
Inequivalent atoms, fractional coordinates:
Tl 0.0000 0.2500 0.0482
Cd 0.0000 0.2500 0.3750
F 0.0000 0.2500 0.2984
F 0.1798 0.0702 0.1250

(2)
## CsScTe2I (GGA-PBE)

Data for a relaxed structure of CsScTe2I.

Computed properties:
- electronic total energy (eV/atom) = -2.304

Cell lengths 6.2385, 6.2385, 6.6687 Å; angles 90.00, 90.00, 90.00 degrees
Space group P4/mmm (No. 123)
Inequivalent atoms, fractional coordinates:
Cs 0.0000 0.0000 0.0000
Sc 0.5000 0.5000 0.5000
Te 0.0000 0.5000 0.0000
I 0.0000 0.0000 0.5000

(3)
## AlFeCu3 (GGA-PBE)

Data for a relaxed structure of AlFeCu3.

Computed properties:
- E_form (eV per atom) = 0.97

Cell lengths 4.4357, 4.4357, 4.4357 Å; angles 90.00, 90.00, 90.00 degrees
Space group Pm-3m (No. 221)
Inequivalent atoms, fractional coordinates:
Al 0.0000 0.0000 0.0000
Fe 0.5000 0.5000 0.5000
Cu 0.0000 0.5000 0.5000

(4)
## Ca2PrZn2Ga2 (GGA-PBE)

Data for a relaxed structure of Ca2PrZn2Ga2.

Computed properties:
- E_form (eV per atom) = -0.41

Cell lengths 4.4817, 4.4817, 31.0876 Å; angles 90.00, 90.00, 120.00 degrees
Space group R-3m (No. 166, hexagonal axes)
Inequivalent atoms, fractional coordinates:
Ca 0.0000 0.0000 0.1204
Pr 0.0000 0.0000 0.0000
Zn 0.0000 0.0000 0.3938
Ga 0.0000 0.0000 0.2706